Entry from Alexandria: an optimized crystal structure of HgAs2PdO8 (PBE).

Computed properties:
E_form (uncorrected) ... -511.6 meV/atom
Calculated total energy ... -181.79 eV per cell

abc: 4.8522 4.8522 24.1225
angles: 90.00 90.00 120.00
Space group R32 (No. 155, hexagonal axes)
Inequivalent atoms, fractional coordinates:
1 Hg 0.0000 0.0000 0.0000 (multiplicity 3)
2 As 0.0000 0.0000 0.2448 (multiplicity 6)
3 Pd 0.0000 0.0000 0.5000 (multiplicity 3)
4 O 0.0000 0.0000 0.3164 (multiplicity 6)
5 O 0.0021 0.3182 0.4431 (multiplicity 18)